Density functional theory data (PBE-GGA) for a relaxed structure of Dy2TmHf.

Properties
Total magnetic moment in μB per atom: 0.000
ΔE_f in eV per atom: 0.350
Relative energy among the computed polymorphs in eV per atom: 0.241

Unit cell a=3.3209 b=3.3209 c=12.0675 alpha=82.09 beta=82.09 gamma=60.00
Fractional coordinates of all 4 atoms:
Dy 0.0870 0.0870 0.7391
Dy 0.9130 0.9130 0.2609
Hf 0.0000 0.0000 0.0000
Tm 0.5000 0.5000 0.5000